VASP calculation (PBE with a Hubbard U) on a relaxed Li2MnVP3O12 crystal.

The structure in POSCAR format:
```
Li2MnVP3O12
1.0
8.256 0.000 0.000
-3.968 7.473 0.000
-0.053 -4.669 7.485
Li Mn V P O
4 2 2 6 24
Direct
0.085 0.414 0.148
0.337 0.073 0.142
0.663 0.927 0.858
0.915 0.586 0.852
0.352 0.701 0.056
0.648 0.299 0.944
0.144 0.281 0.435
0.856 0.719 0.565
0.042 0.793 0.247
0.244 0.774 0.749
0.467 0.502 0.250
0.533 0.498 0.750
0.756 0.226 0.251
0.958 0.207 0.753
0.009 0.188 0.581
0.092 0.824 0.715
0.133 0.366 0.917
0.137 0.015 0.268
0.189 0.561 0.587
0.193 0.726 0.223
0.209 0.757 0.919
0.265 0.385 0.270
0.382 0.372 0.567
0.448 0.949 0.792
0.490 0.656 0.196
0.493 0.321 0.112
0.507 0.679 0.888
0.510 0.344 0.804
0.552 0.051 0.208
0.618 0.628 0.433
0.735 0.615 0.730
0.791 0.243 0.081
0.807 0.274 0.777
0.811 0.439 0.413
0.863 0.985 0.732
0.867 0.634 0.083
0.908 0.176 0.285
0.991 0.812 0.419
```

Results
calculated density: 2.910 Mg/m³
E above lowest polymorph: 0.00 eV/f.u.
symmetry: No. 2